Entry 1:
First-principles (GGA-PBE) data for a relaxed structure of LiHoZnCd, as listed in Alexandria via LeMat-Bulk.

It has space group F-43m (No. 216), with a = 6.766 Å, b = 6.766 Å, c = 6.766 Å, α = 90.00°, β = 90.00° and γ = 90.00°. Symmetry generates all atoms from Li at (0.000, 0.000, 0.000), Ho at (0.250, 0.250, 0.250), Zn at (0.000, 0.000, 0.500) and Cd at (0.250, 0.250, 0.750).

The value obtained for the energy relative to the elements is -276 meV/atom.



Entry 2:
First-principles (GGA-PBE) data for a relaxed structure of Al5Tl, as listed in Alexandria via LeMat-Bulk.

It has space group Amm2 (No. 38), with a = 4.482 Å, b = 2.954 Å, c = 18.283 Å, α = 90.00°, β = 90.00° and γ = 90.00°. Symmetry generates all atoms from Al at (0.000, 0.000, 0.000), Al at (0.000, 0.000, 0.274), Al at (0.000, 0.000, 0.639), Al at (0.500, 0.000, 0.188), Al at (0.500, 0.000, 0.542) and Tl at (0.500, 0.000, 0.872).

The value obtained for the energy relative to the elements is 165 meV/atom. The polymorph energy (0 for the lowest one) comes out at 0.00 kJ per mole of atoms.



Entry 3:
First-principles (GGA-PBE) data for a relaxed structure of TaTcSe2N, as listed in Alexandria via LeMat-Bulk.

It has space group P4/mmm (No. 123), with a = 5.031 Å, b = 5.031 Å, c = 3.656 Å, α = 90.00°, β = 90.00° and γ = 90.00°. Symmetry generates all atoms from Ta at (0.000, 0.000, 0.000), Tc at (0.500, 0.500, 0.500), Se at (0.000, 0.500, 0.500) and N at (0.500, 0.500, 0.000).

As for the formation energy (no corrections): 651 meV per atom. The polymorph energy (0 for the lowest one) comes out at 14.31 kJ per mole of atoms.



Entry 4:
First-principles (GGA-PBE) data for a relaxed structure of La2Dy7Er2, as listed in Alexandria via LeMat-Bulk.

It has space group Cmmm (No. 65), with a = 6.544 Å, b = 12.155 Å, c = 9.414 Å, α = 90.00°, β = 90.00° and γ = 90.00°. Symmetry generates all atoms from La at (0.248, 0.000, 0.000), Dy at (0.000, 0.000, 0.319), Dy at (0.000, 0.500, 0.500), Dy at (0.250, 0.250, 0.186) and Er at (0.000, 0.226, 0.500).

The value obtained for the energy relative to the elements is 343 meV/atom. The polymorph energy (0 for the lowest one) comes out at 18.51 kJ per mole of atoms.